(1)
DFT (GGA-PBE) results for K3YNp3Te8 after structural relaxation.

Geometry as CIF:
```
data_K3YNp3Te8
_space_group_name_H-M_alt 'P 1'
_space_group_IT_number 1
_space_group_name_Hall 'P 1'
_cell_length_a 9.0027
_cell_length_b 9.0027
_cell_length_c 9.8109
_cell_angle_alpha 117.18
_cell_angle_beta 117.18
_cell_angle_gamma 60.04
loop_
_atom_site_label
_atom_site_fract_x
_atom_site_fract_y
_atom_site_fract_z
K1 0.0000 0.0000 0.0000
K2 0.0000 0.5000 0.0000
K3 0.5000 0.0000 0.0000
Y1 0.0000 0.0000 0.5000
Np1 0.0000 0.5000 0.5000
Np2 0.5000 0.0000 0.5000
Np3 0.5000 0.5000 0.5000
Te1 0.2358 0.2358 0.7058
Te2 0.2362 0.7355 0.7070
Te3 0.2631 0.2631 0.2899
Te4 0.2645 0.7638 0.2930
Te5 0.7355 0.2362 0.7070
Te6 0.7369 0.7369 0.7101
Te7 0.7638 0.2645 0.2930
Te8 0.7642 0.7642 0.2942
```

Properties
Its density of states at the Fermi level is 1.4605 states/eV per atom. The density is 5.5 g cm⁻³. Its formation energy without anion corrections is -0.962 eV per atom. The value obtained for the total energy is -5.88 eV per atom. As for the crystal system: monoclinic.



(2)
DFT (GGA-PBE) results for K4Y3NpTe8 after structural relaxation.

Geometry as CIF:
```
data_K4Y3NpTe8
_space_group_name_H-M_alt 'P 1'
_space_group_IT_number 1
_space_group_name_Hall 'P 1'
_cell_length_a 9.7422
_cell_length_b 9.7422
_cell_length_c 9.7422
_cell_angle_alpha 55.35
_cell_angle_beta 55.35
_cell_angle_gamma 55.35
loop_
_atom_site_label
_atom_site_fract_x
_atom_site_fract_y
_atom_site_fract_z
K1 0.0000 0.0000 0.0000
K2 0.0000 0.5000 0.5000
K3 0.5000 0.0000 0.5000
K4 0.5000 0.5000 0.0000
Y1 0.0000 0.0000 0.5000
Y2 0.0000 0.5000 0.0000
Y3 0.5000 0.0000 0.0000
Np1 0.5000 0.5000 0.5000
Te1 0.2323 0.7384 0.7384
Te2 0.2362 0.2362 0.2362
Te3 0.2616 0.2616 0.7677
Te4 0.2616 0.7677 0.2616
Te5 0.7384 0.2323 0.7384
Te6 0.7384 0.7384 0.2323
Te7 0.7638 0.7638 0.7638
Te8 0.7677 0.2616 0.2616
```

Properties
Its density of states at the Fermi level is 0.4477 states/eV per atom. The density is 4.8 g cm⁻³. Its formation energy without anion corrections is -1.275 eV per atom. The value obtained for the total energy is -5.14 eV per atom. As for the crystal system: trigonal.



(3)
DFT (GGA-PBE) results for K4Np3ZnTe8 after structural relaxation.

Geometry as CIF:
```
data_K4Np3ZnTe8
_space_group_name_H-M_alt 'P 1'
_space_group_IT_number 1
_space_group_name_Hall 'P 1'
_cell_length_a 9.0437
_cell_length_b 9.0437
_cell_length_c 9.6730
_cell_angle_alpha 117.89
_cell_angle_beta 117.89
_cell_angle_gamma 59.93
loop_
_atom_site_label
_atom_site_fract_x
_atom_site_fract_y
_atom_site_fract_z
K1 0.0000 0.0000 0.0000
K2 0.0000 0.5000 0.0000
K3 0.5000 0.0000 0.0000
K4 0.5000 0.5000 0.0000
Np1 0.0000 0.0000 0.5000
Np2 0.0000 0.5000 0.5000
Np3 0.5000 0.0000 0.5000
Zn1 0.5000 0.5000 0.5000
Te1 0.2367 0.2367 0.7103
Te2 0.2432 0.7281 0.6995
Te3 0.2705 0.2705 0.2993
Te4 0.2719 0.7568 0.3005
Te5 0.7281 0.2432 0.6995
Te6 0.7295 0.7295 0.7007
Te7 0.7568 0.2719 0.3005
Te8 0.7633 0.7633 0.2897
```

Properties
Its density of states at the Fermi level is 1.6999 states/eV per atom. The density is 5.6 g cm⁻³. Its formation energy without anion corrections is -0.791 eV per atom. The value obtained for the total energy is -5.14 eV per atom. As for the crystal system: monoclinic.



(4)
DFT (GGA-PBE) results for K3Zr2NpTe6 after structural relaxation.

Geometry as CIF:
```
data_K3Zr2NpTe6
_space_group_name_H-M_alt 'P 1'
_space_group_IT_number 1
_space_group_name_Hall 'P 1'
_cell_length_a 7.4738
_cell_length_b 7.4738
_cell_length_c 8.7252
_cell_angle_alpha 98.24
_cell_angle_beta 98.24
_cell_angle_gamma 120.20
loop_
_atom_site_label
_atom_site_fract_x
_atom_site_fract_y
_atom_site_fract_z
K1 0.0000 0.0000 0.0000
K2 0.3381 0.6619 0.0000
K3 0.6619 0.3381 0.0000
Zr1 0.1690 0.8310 0.5000
Zr2 0.8310 0.1690 0.5000
Np1 0.5000 0.5000 0.5000
Te1 0.0839 0.4302 0.2925
Te2 0.2205 0.2205 0.7040
Te3 0.4302 0.0839 0.2925
Te4 0.5698 0.9161 0.7075
Te5 0.7795 0.7795 0.2960
Te6 0.9161 0.5698 0.7075
```

Properties
Its density of states at the Fermi level is 1.1355 states/eV per atom. The density is 5.4 g cm⁻³. Its formation energy without anion corrections is -0.935 eV per atom. The value obtained for the total energy is -5.28 eV per atom. As for the crystal system: monoclinic.



What is the formula in the third record?
K4Np3ZnTe8



Repeat the second record exactly.
DFT (GGA-PBE) results for K4Y3NpTe8 after structural relaxation.

Geometry as CIF:
```
data_K4Y3NpTe8
_space_group_name_H-M_alt 'P 1'
_space_group_IT_number 1
_space_group_name_Hall 'P 1'
_cell_length_a 9.7422
_cell_length_b 9.7422
_cell_length_c 9.7422
_cell_angle_alpha 55.35
_cell_angle_beta 55.35
_cell_angle_gamma 55.35
loop_
_atom_site_label
_atom_site_fract_x
_atom_site_fract_y
_atom_site_fract_z
K1 0.0000 0.0000 0.0000
K2 0.0000 0.5000 0.5000
K3 0.5000 0.0000 0.5000
K4 0.5000 0.5000 0.0000
Y1 0.0000 0.0000 0.5000
Y2 0.0000 0.5000 0.0000
Y3 0.5000 0.0000 0.0000
Np1 0.5000 0.5000 0.5000
Te1 0.2323 0.7384 0.7384
Te2 0.2362 0.2362 0.2362
Te3 0.2616 0.2616 0.7677
Te4 0.2616 0.7677 0.2616
Te5 0.7384 0.2323 0.7384
Te6 0.7384 0.7384 0.2323
Te7 0.7638 0.7638 0.7638
Te8 0.7677 0.2616 0.2616
```

Properties
Its density of states at the Fermi level is 0.4477 states/eV per atom. The density is 4.8 g cm⁻³. Its formation energy without anion corrections is -1.275 eV per atom. The value obtained for the total energy is -5.14 eV per atom. As for the crystal system: trigonal.



Among the records above, which one has the highest density?
K4Np3ZnTe8



What did the second record say?
DFT (GGA-PBE) results for K4Y3NpTe8 after structural relaxation.

Geometry as CIF:
```
data_K4Y3NpTe8
_space_group_name_H-M_alt 'P 1'
_space_group_IT_number 1
_space_group_name_Hall 'P 1'
_cell_length_a 9.7422
_cell_length_b 9.7422
_cell_length_c 9.7422
_cell_angle_alpha 55.35
_cell_angle_beta 55.35
_cell_angle_gamma 55.35
loop_
_atom_site_label
_atom_site_fract_x
_atom_site_fract_y
_atom_site_fract_z
K1 0.0000 0.0000 0.0000
K2 0.0000 0.5000 0.5000
K3 0.5000 0.0000 0.5000
K4 0.5000 0.5000 0.0000
Y1 0.0000 0.0000 0.5000
Y2 0.0000 0.5000 0.0000
Y3 0.5000 0.0000 0.0000
Np1 0.5000 0.5000 0.5000
Te1 0.2323 0.7384 0.7384
Te2 0.2362 0.2362 0.2362
Te3 0.2616 0.2616 0.7677
Te4 0.2616 0.7677 0.2616
Te5 0.7384 0.2323 0.7384
Te6 0.7384 0.7384 0.2323
Te7 0.7638 0.7638 0.7638
Te8 0.7677 0.2616 0.2616
```

Properties
Its density of states at the Fermi level is 0.4477 states/eV per atom. The density is 4.8 g cm⁻³. Its formation energy without anion corrections is -1.275 eV per atom. The value obtained for the total energy is -5.14 eV per atom. As for the crystal system: trigonal.